Pu2MgGa: relaxed, PBE-GGA.

Unit cell a=3.8801 b=3.8801 c=6.3926 alpha=90.00 beta=90.00 gamma=90.00
With the nearest neighbours (Å) after each atom.
Space group P4/mmm (No. 123)
One atom of each set of equivalent atoms:
Pu 0.0000 0.0000 0.2275 (multiplicity 2)  1 Pu 2.91, 4 Ga 3.11, 4 Mg 3.25
Mg 0.5000 0.5000 0.5000 (multiplicity 1)  2 Ga 3.20, 8 Pu 3.25
Ga 0.5000 0.5000 0.0000 (multiplicity 1)  8 Pu 3.11, 2 Mg 3.20

The density of states at the Fermi level comes out at 12.79 states/eV/f.u. Its calculated formation energy is -22 meV/atom.

=====

BiS2NCl: relaxed, PBE-GGA.

Unit cell a=5.3310 b=5.3310 c=5.5037 alpha=90.00 beta=90.00 gamma=90.00
With the nearest neighbours (Å) after each atom.
Space group P4/mmm (No. 123)
One atom of each set of equivalent atoms:
Bi 0.0000 0.0000 0.0000 (multiplicity 1)  4 S 2.67, 2 Cl 2.75
S 0.0000 0.5000 0.0000 (multiplicity 2)  2 Bi 2.67
N 0.5000 0.5000 0.5000 (multiplicity 1)  4 Cl 3.77, 8 S 3.83
Cl 0.0000 0.0000 0.5000 (multiplicity 1)  2 Bi 2.75

The density of states at the Fermi level comes out at 5.17 states/eV/f.u. The value obtained for the energy above the most stable polymorph in this dataset is 513 meV/atom. The value obtained for the formation energy from raw total energies is 1254 meV per atom.

=====

Ba3Pm2PaSb6: relaxed, PBE-GGA.

Unit cell a=8.0677 b=13.9917 c=8.3721 alpha=90.00 beta=108.80 gamma=90.00
With the nearest neighbours (Å) after each atom.
Space group C2/m (No. 12)
One atom of each set of equivalent atoms:
Ba 0.0000 0.0000 0.0000 (multiplicity 2)  6 Sb 3.50-3.60
Ba 0.0000 0.3296 0.0000 (multiplicity 4)  6 Sb 3.50-3.57
Pm 0.0000 0.1660 0.5000 (multiplicity 4)  6 Sb 3.21
Pa 0.0000 0.5000 0.5000 (multiplicity 2)  6 Sb 3.09-3.10
Sb 0.2313 0.3388 0.7113 (multiplicity 8)  1 Pa 3.09, 2 Pm 3.21
Sb 0.2499 0.0000 0.7137 (multiplicity 4)  1 Pa 3.10, 2 Pm 3.21

The density of states at the Fermi level comes out at 10.06 states/eV/f.u. The value obtained for the formation energy from raw total energies is -950 meV per atom.

=====

no.,spin magnetization (Bohr magnetons per cell),final energy (eV per atom)
1,11.7,-8.34
2,4.5,-3.21
3,0.0,-5.07